# 1
An optimized crystal structure of LaPr4Sm2Ho2. Source: Alexandria, functional PBE.

The structure in extended XYZ format:
```
9
Lattice="7.763 -2.589 0.000 7.763 2.589 0.000 -2.574 0.000 7.754" Properties=species:S:1:pos:R:3 pbc="T T T"
La 0.000 0.000 0.000
Pr 2.608 0.000 2.556
Pr 5.191 0.000 5.178
Pr 7.761 0.000 2.576
Pr 10.344 0.000 5.198
Sm 0.016 0.000 5.177
Sm 12.936 0.000 2.577
Ho 5.136 0.000 0.012
Ho 7.816 0.000 7.742
```

As for the size of the total moment: 0.0 μB/f.u. As for the total energy: -4.718 eV/atom. The value obtained for the formation energy is 0.0200 eV per atom. Its space-group type is No. 12. For the density of states at the Fermi level, the calculation gives 14.26 states/eV per cell.



# 2
An optimized crystal structure of LaPr4Sm2Ho. Source: Alexandria, functional PBE.

The structure in extended XYZ format:
```
8
Lattice="6.341 0.000 0.000 0.000 3.691 0.000 -2.164 0.000 11.990" Properties=species:S:1:pos:R:3 pbc="T T T"
La 0.000 0.000 0.000
Pr -0.037 0.000 9.005
Pr 1.052 1.846 3.019
Pr 3.125 1.846 8.971
Pr 4.214 0.000 2.985
Sm -1.082 1.846 5.995
Sm 2.089 0.000 5.995
Ho 3.171 1.846 0.000
```

As for the size of the total moment: 0.0 μB/f.u. As for the total energy: -4.742 eV/atom. The value obtained for the formation energy is 0.0161 eV per atom. Its space-group type is No. 10. For the density of states at the Fermi level, the calculation gives 12.56 states/eV per cell.



# 3
An optimized crystal structure of La5Pr2SmHo. Source: Alexandria, functional PBE.

The structure in extended XYZ format:
```
18
Lattice="-4.485 4.485 8.095 4.485 -4.485 8.095 4.485 4.485 -8.095" Properties=species:S:1:pos:R:3 pbc="T T T"
La 0.000 0.000 0.000
La 6.394 1.909 -2.299
La 1.909 2.576 -2.299
La 6.394 1.909 2.299
La 1.909 2.576 2.299
La 0.000 0.000 8.095
La 2.576 1.909 5.796
La -1.909 2.576 5.796
La 2.576 1.909 10.395
La -1.909 2.576 10.395
Pr 3.425 1.060 0.000
Pr 3.425 -1.060 8.095
Pr 1.060 5.545 0.000
Pr 1.060 3.425 8.095
Sm 0.000 0.000 4.048
Sm 0.000 0.000 12.143
Ho 4.485 0.000 4.048
Ho 0.000 4.485 4.048
```

As for the size of the total moment: 0.0 μB/f.u. As for the total energy: -4.572 eV/atom. The value obtained for the formation energy is 0.2606 eV per atom. Its space-group type is No. 140. For the density of states at the Fermi level, the calculation gives 34.39 states/eV per cell.